Entry 1:
The following is a DFT calculation (GGA-PBE) of crystalline Na4Ac3GeO8 at its relaxed geometry.

Cell and atoms, written as POSCAR:
```
Na4Ac3GeO8
1.0
7.189 0.000 0.000
0.000 6.919 -0.169
-3.594 -3.565 5.617
Na Ac Ge O
4 3 1 8
direct
0.500 0.000 0.000
0.500 0.000 0.500
0.000 0.000 0.000
0.000 0.000 0.500
0.500 0.500 0.000
0.500 0.500 0.500
0.000 0.500 0.500
0.000 0.500 0.000
0.181 0.681 0.960
0.290 0.778 0.579
0.275 0.280 0.551
0.778 0.681 0.960
0.222 0.319 0.040
0.725 0.720 0.449
0.710 0.222 0.421
0.819 0.319 0.040
```

SG: C2/m, No. 12
Raw formation energy in eV/atom: -2.15

***

Entry 2:
The following is a DFT calculation (GGA-PBE) of crystalline NaAc4Ge3O12 at its relaxed geometry.

Cell and atoms, written as POSCAR:
```
NaAc4Ge3O12
1.0
-1.643 6.748 -3.089
-1.255 -5.494 -5.101
-4.406 -1.140 6.088
Na Ac Ge O
1 4 3 12
direct
0.000 0.000 0.000
0.500 0.000 0.000
0.500 0.500 0.500
0.000 0.500 0.000
0.000 0.000 0.500
0.000 0.500 0.500
0.500 0.500 0.000
0.500 0.000 0.500
0.346 0.852 0.199
0.654 0.148 0.801
0.654 0.852 0.506
0.801 0.654 0.148
0.852 0.199 0.346
0.148 0.494 0.346
0.494 0.346 0.148
0.148 0.801 0.654
0.346 0.148 0.494
0.199 0.346 0.852
0.852 0.506 0.654
0.506 0.654 0.852
```

SG: Im-3, No. 204
Raw formation energy in eV/atom: -2.24

***

Entry 3:
The following is a DFT calculation (GGA-PBE) of crystalline NaAc2GeO6 at its relaxed geometry.

Cell and atoms, written as POSCAR:
```
NaAc2GeO6
1.0
-1.460 4.468 0.425
-3.817 -0.867 -3.998
-3.707 -1.581 3.881
Na Ac Ge O
1 2 1 6
direct
0.594 0.500 0.500
0.043 0.500 0.000
0.043 0.000 0.500
0.601 0.000 0.000
0.706 0.227 0.227
0.706 0.227 0.773
0.123 0.500 0.500
0.219 0.000 0.000
0.706 0.773 0.773
0.706 0.773 0.227
```

SG: P4mm, No. 99
Raw formation energy in eV/atom: -2.34

***

Entry 4:
The following is a DFT calculation (GGA-PBE) of crystalline NaAcGe2Pd2 at its relaxed geometry.

Cell and atoms, written as POSCAR:
```
NaAcGe2Pd2
1.0
4.513 0.000 0.000
-2.257 3.909 0.000
0.000 0.000 7.169
Na Ac Ge Pd
1 1 2 2
direct
0.000 0.000 0.500
0.000 0.000 0.000
0.667 0.333 0.712
0.333 0.667 0.288
0.667 0.333 0.346
0.333 0.667 0.654
```

SG: P-3m1, No. 164
E in eV per atom: -4.75

***

Entry 5:
The following is a DFT calculation (GGA-PBE) of crystalline NaAc3Ge6Pd2 at its relaxed geometry.

Cell and atoms, written as POSCAR:
```
NaAc3Ge6Pd2
1.0
6.434 0.000 0.000
-3.217 5.572 0.000
0.000 0.000 8.511
Na Ac Ge Pd
1 3 6 2
direct
0.000 0.000 0.500
0.333 0.667 0.642
0.667 0.333 0.358
0.000 0.000 0.000
0.599 0.800 0.282
0.200 0.401 0.282
0.200 0.800 0.282
0.800 0.599 0.718
0.401 0.200 0.718
0.800 0.200 0.718
0.667 0.333 0.967
0.333 0.667 0.033
```

SG: P-3m1, No. 164
E in eV per atom: -4.73

***

Entry 6:
The following is a DFT calculation (GGA-PBE) of crystalline NaAcGe2Pd5 at its relaxed geometry.

Cell and atoms, written as POSCAR:
```
NaAcGe2Pd5
1.0
-0.611 -4.294 -0.051
2.471 -0.309 -3.552
7.537 -1.135 5.342
Na Ac Ge Pd
1 1 2 5
direct
0.000 0.000 0.000
0.000 0.000 0.500
0.500 0.500 0.135
0.500 0.500 0.865
0.000 0.500 0.264
0.500 0.000 0.264
0.000 0.500 0.736
0.500 0.000 0.736
0.500 0.500 0.500
```

SG: P4/mmm, No. 123
E in eV per atom: -5.09

***

Entry 7:
The following is a DFT calculation (GGA-PBE) of crystalline NaAc2GePd6 at its relaxed geometry.

Cell and atoms, written as POSCAR:
```
NaAc2GePd6
1.0
5.972 0.046 -0.036
-0.053 9.020 -2.099
2.984 2.981 4.237
Na Ac Ge Pd
1 2 1 6
direct
0.000 0.000 0.000
0.790 0.366 0.422
0.210 0.634 0.578
0.500 0.500 0.000
0.259 0.304 0.484
0.740 0.696 0.048
0.209 0.696 0.048
0.791 0.304 0.952
0.260 0.304 0.952
0.741 0.696 0.516
```

SG: P-1, No. 2
E in eV per atom: -5.06

***

Entry 8:
The following is a DFT calculation (GGA-PBE) of crystalline NaAcGePd at its relaxed geometry.

Cell and atoms, written as POSCAR:
```
NaAcGePd
1.0
-1.280 3.629 3.530
-1.868 -1.435 4.660
2.919 0.617 4.286
Na Ac Ge Pd
1 1 1 1
direct
0.500 0.500 0.500
0.000 0.000 0.000
0.250 0.250 0.250
0.750 0.750 0.750
```

SG: F-43m, No. 216
E in eV per atom: -4.15

***

Entry 9:
The following is a DFT calculation (GGA-PBE) of crystalline NaAcPmGe at its relaxed geometry.

Cell and atoms, written as POSCAR:
```
NaAcPmGe
1.0
5.481 0.000 0.000
2.740 4.747 0.000
2.740 1.582 4.475
Na Ac Ge Pm
1 1 1 1
direct
0.750 0.750 0.750
0.000 0.000 0.000
0.250 0.250 0.250
0.500 0.500 0.500
```

SG: F-43m, No. 216
E in eV per atom: -3.90

***

Entry 10:
The following is a DFT calculation (GGA-PBE) of crystalline NaAcPrGe at its relaxed geometry.

Cell and atoms, written as POSCAR:
```
NaAcPrGe
1.0
5.516 0.000 0.000
2.758 4.777 0.000
2.758 1.592 4.504
Pr Na Ac Ge
1 1 1 1
direct
0.500 0.500 0.500
0.750 0.750 0.750
0.000 0.000 0.000
0.250 0.250 0.250
```

SG: F-43m, No. 216
E in eV per atom: -3.93

***

Entry 11:
The following is a DFT calculation (GGA-PBE) of crystalline NaAc2Ge4Pt3 at its relaxed geometry.

Cell and atoms, written as POSCAR:
```
NaAc2Ge4Pt3
1.0
4.526 0.000 0.000
0.000 4.526 0.000
0.000 0.000 10.483
Na Ac Ge Pt
1 2 4 3
direct
0.500 0.500 0.500
0.500 0.000 0.246
0.000 0.500 0.754
0.500 0.500 0.000
0.000 0.000 0.000
0.500 0.000 0.643
0.000 0.500 0.357
0.000 0.000 0.500
0.500 0.000 0.883
0.000 0.500 0.117
```

SG: P-4m2, No. 115
E in eV per atom: -5.38

***

Entry 12:
The following is a DFT calculation (GGA-PBE) of crystalline NaAcGe2Pt5 at its relaxed geometry.

Cell and atoms, written as POSCAR:
```
NaAcGe2Pt5
1.0
4.287 0.000 0.000
0.000 4.287 0.000
0.000 0.000 9.556
Na Ac Ge Pt
1 1 2 5
direct
0.000 0.000 0.000
0.000 0.000 0.500
0.500 0.500 0.132
0.500 0.500 0.868
0.000 0.500 0.263
0.500 0.000 0.263
0.000 0.500 0.737
0.500 0.000 0.737
0.500 0.500 0.500
```

SG: P4/mmm, No. 123
E in eV per atom: -5.61

***

Entry 13:
The following is a DFT calculation (GGA-PBE) of crystalline NaAcPuGe at its relaxed geometry.

Cell and atoms, written as POSCAR:
```
NaAcPuGe
1.0
5.470 0.000 0.000
2.735 4.737 0.000
2.735 1.579 4.466
Na Ac Ge Pu
1 1 1 1
direct
0.250 0.250 0.250
0.000 0.000 0.000
0.750 0.750 0.750
0.500 0.500 0.500
```

SG: F-43m, No. 216
E in eV per atom: -6.08

***

Entry 14:
The following is a DFT calculation (GGA-PBE) of crystalline Na2AcGeS4 at its relaxed geometry.

Cell and atoms, written as POSCAR:
```
Na2AcGeS4
1.0
8.162 0.020 -0.285
0.014 8.162 -0.285
-4.263 -4.266 6.070
Na Ac Ge S
4 2 2 8
direct
0.500 0.000 0.000
0.500 0.000 0.500
0.000 0.000 0.500
0.500 0.500 0.000
0.000 0.500 0.000
0.000 0.500 0.500
0.500 0.500 0.500
0.000 0.000 0.000
0.241 0.770 0.006
0.730 0.259 0.494
0.270 0.741 0.506
0.759 0.230 0.994
0.745 0.755 0.962
0.745 0.755 0.538
0.255 0.245 0.462
0.255 0.245 0.038
```

SG: Imma, No. 74
Raw formation energy in eV/atom: -1.11

***

Entry 15:
The following is a DFT calculation (GGA-PBE) of crystalline NaAcGe2S6 at its relaxed geometry.

Cell and atoms, written as POSCAR:
```
NaAcGe2S6
1.0
6.786 -0.087 -0.091
2.060 8.884 0.167
2.060 -0.162 8.884
Na Ac Ge S
2 2 4 12
direct
0.250 0.365 0.635
0.750 0.635 0.365
0.250 0.869 0.131
0.750 0.131 0.869
0.267 0.791 0.631
0.233 0.369 0.209
0.733 0.209 0.369
0.767 0.631 0.791
0.186 0.963 0.808
0.314 0.192 0.037
0.814 0.037 0.192
0.686 0.808 0.963
0.399 0.870 0.409
0.101 0.591 0.130
0.601 0.130 0.591
0.899 0.409 0.870
0.001 0.690 0.587
0.499 0.413 0.310
0.999 0.310 0.413
0.501 0.587 0.690
```

SG: C2/c, No. 15
Raw formation energy in eV/atom: -0.90

***

Entry 16:
The following is a DFT calculation (GGA-PBE) of crystalline Na4Ac3GeS8 at its relaxed geometry.

Cell and atoms, written as POSCAR:
```
Na4Ac3GeS8
1.0
8.451 0.000 0.000
0.000 8.324 -0.096
-4.226 -4.223 5.977
Na Ac Ge S
4 3 1 8
direct
0.500 0.000 0.000
0.500 0.000 0.500
0.000 0.000 0.000
0.000 0.000 0.500
0.500 0.500 0.000
0.500 0.500 0.500
0.000 0.500 0.500
0.000 0.500 0.000
0.229 0.730 0.001
0.230 0.731 0.460
0.252 0.255 0.503
0.772 0.730 0.001
0.228 0.270 0.999
0.748 0.745 0.497
0.770 0.269 0.540
0.771 0.270 0.999
```

SG: C2/m, No. 12
Raw formation energy in eV/atom: -1.44

***

Entry 17:
The following is a DFT calculation (GGA-PBE) of crystalline NaAcSmGe at its relaxed geometry.

Cell and atoms, written as POSCAR:
```
NaAcSmGe
1.0
-0.731 4.465 -3.076
-3.103 -0.255 -4.499
-4.875 2.481 -0.105
Na Ac Ge Sm
1 1 1 1
direct
0.750 0.750 0.750
0.000 0.000 0.000
0.250 0.250 0.250
0.500 0.500 0.500
```

SG: F-43m, No. 216
E in eV per atom: -3.89

***

Entry 18:
The following is a DFT calculation (GGA-PBE) of crystalline NaAcSnGe at its relaxed geometry.

Cell and atoms, written as POSCAR:
```
NaAcSnGe
1.0
5.474 0.000 0.000
2.737 4.741 0.000
2.737 1.580 4.470
Na Ac Ge Sn
1 1 1 1
direct
0.500 0.500 0.500
0.000 0.000 0.000
0.250 0.250 0.250
0.750 0.750 0.750
```

SG: F-43m, No. 216
E in eV per atom: -3.81

***

Entry 19:
The following is a DFT calculation (GGA-PBE) of crystalline NaAcTlGe at its relaxed geometry.

Cell and atoms, written as POSCAR:
```
NaAcTlGe
1.0
-3.895 0.708 3.794
-1.609 -4.228 3.099
1.300 -0.148 5.325
Na Ac Ge Tl
1 1 1 1
direct
0.500 0.500 0.500
0.000 0.000 0.000
0.250 0.250 0.250
0.750 0.750 0.750
```

SG: F-43m, No. 216
E in eV per atom: -3.37

***

Entry 20:
The following is a DFT calculation (GGA-PBE) of crystalline NaAcZn2Ge2 at its relaxed geometry.

Cell and atoms, written as POSCAR:
```
NaAcZn2Ge2
1.0
4.433 0.000 0.000
-2.216 3.839 0.000
0.000 0.000 7.906
Na Ac Zn Ge
1 1 2 2
direct
0.000 0.000 0.500
0.000 0.000 0.000
0.333 0.667 0.703
0.667 0.333 0.297
0.333 0.667 0.259
0.667 0.333 0.741
```

SG: P-3m1, No. 164
E in eV per atom: -3.26